# 1
# GdHo2CuSn3Ir2

GdHo2CuSn3Ir2 after structural relaxation (PBE, OQMD via LeMat-Bulk).

Values from the calculation:
Density (kg/m³): 11217
Total energy (eV per cell): -53.793
Crystal system: orthorhombic

```
GdHo2CuSn3Ir2
1.0
3.885 0.000 0.000
0.000 6.540 3.762
0.000 -6.540 3.762
Gd Ho Cu Sn Ir
1 2 1 3 2
Cartesian
0.000 0.000 0.000
0.000 -2.655 4.582
0.000 2.655 4.582
0.000 0.000 3.062
1.942 -1.707 2.081
1.942 1.707 2.081
1.942 0.000 5.005
1.942 -4.342 3.050
1.942 4.342 3.050
```

---

# 2
# Gd2HoTl3CuNi2

Gd2HoTl3CuNi2 after structural relaxation (PBE, OQMD via LeMat-Bulk).

Values from the calculation:
Density (kg/m³): 11147
Total energy (eV per cell): -38.802
Crystal system: orthorhombic

```
Gd2HoTl3CuNi2
1.0
3.856 0.000 0.000
0.000 6.529 3.767
0.000 -6.529 3.767
Gd Ho Tl Cu Ni
2 1 3 1 2
Cartesian
0.000 -3.832 3.767
0.000 3.832 3.767
0.000 0.000 2.869
1.928 0.000 0.409
1.928 -1.692 4.995
1.928 1.692 4.995
0.000 0.000 5.974
1.928 -2.168 2.212
1.928 2.168 2.212
```

---

# 3
# GdHoCu2P4

GdHoCu2P4 after structural relaxation (PBE, OQMD via LeMat-Bulk).

Values from the calculation:
Density (kg/m³): 7049
Total energy (eV per cell): -45.289
Crystal system: tetragonal

```
GdHoCu2P4
1.0
3.724 0.000 0.000
0.000 3.724 0.000
0.000 0.000 9.735
Gd Ho Cu P
1 1 2 4
Cartesian
0.000 0.000 0.000
1.862 1.862 5.229
0.000 1.862 2.631
1.862 0.000 2.631
0.000 0.000 4.148
0.000 1.862 7.459
1.862 0.000 7.459
1.862 1.862 1.123
```

---

> Look up the density of the second one.

11147 kg/m³